! Zr2InAs, relaxed, DFT PBE; values from VASP
! Energy ... -6.4880 eV/atom
! Spin magnetization ... 0.0 μB per cell
! DFT formation energy ... -0.37 eV/atom
&SYSTEM
  ibrav = 0, nat = 4, ntyp = 3
/
ATOMIC_SPECIES
Zr 91.22 Zr.upf
As 74.92 As.upf
In 114.82 In.upf
CELL_PARAMETERS angstrom
3.608 0.000 0.000
0.000 3.608 0.000
0.000 0.000 7.382
ATOMIC_POSITIONS angstrom
Zr 0.000 0.000 0.155
As 0.000 0.000 3.008
Zr 1.804 1.804 2.138
In 1.804 1.804 5.772

---

! Zr2InAs2, relaxed, DFT PBE; values from VASP
! Energy ... -6.3413 eV/atom
! Spin magnetization ... 0.0 μB per cell
! Energy relative to the lowest polymorph listed for this composition ... 0.1231 eV/atom
! DFT formation energy ... -0.51 eV/atom
&SYSTEM
  ibrav = 0, nat = 5, ntyp = 3
/
ATOMIC_SPECIES
In 114.82 In.upf
As 74.92 As.upf
Zr 91.22 Zr.upf
CELL_PARAMETERS angstrom
-4.254 0.667 -2.765
0.462 -4.746 -1.857
-4.254 -3.546 0.954
ATOMIC_POSITIONS angstrom
In 0.000 0.000 0.000
As -5.456 -5.142 -2.318
As -2.591 -2.483 -1.349
Zr -5.202 -2.459 -2.061
Zr -2.844 -5.166 -1.607

---

- Which formula does entry 1 have?
  Zr2InAs

---

Copy entry 2 word for word.
! Zr2InAs2, relaxed, DFT PBE; values from VASP
! Energy ... -6.3413 eV/atom
! Spin magnetization ... 0.0 μB per cell
! Energy relative to the lowest polymorph listed for this composition ... 0.1231 eV/atom
! DFT formation energy ... -0.51 eV/atom
&SYSTEM
  ibrav = 0, nat = 5, ntyp = 3
/
ATOMIC_SPECIES
In 114.82 In.upf
As 74.92 As.upf
Zr 91.22 Zr.upf
CELL_PARAMETERS angstrom
-4.254 0.667 -2.765
0.462 -4.746 -1.857
-4.254 -3.546 0.954
ATOMIC_POSITIONS angstrom
In 0.000 0.000 0.000
As -5.456 -5.142 -2.318
As -2.591 -2.483 -1.349
Zr -5.202 -2.459 -2.061
Zr -2.844 -5.166 -1.607

---

Repeat the second record exactly.
! Zr2InAs2, relaxed, DFT PBE; values from VASP
! Energy ... -6.3413 eV/atom
! Spin magnetization ... 0.0 μB per cell
! Energy relative to the lowest polymorph listed for this composition ... 0.1231 eV/atom
! DFT formation energy ... -0.51 eV/atom
&SYSTEM
  ibrav = 0, nat = 5, ntyp = 3
/
ATOMIC_SPECIES
In 114.82 In.upf
As 74.92 As.upf
Zr 91.22 Zr.upf
CELL_PARAMETERS angstrom
-4.254 0.667 -2.765
0.462 -4.746 -1.857
-4.254 -3.546 0.954
ATOMIC_POSITIONS angstrom
In 0.000 0.000 0.000
As -5.456 -5.142 -2.318
As -2.591 -2.483 -1.349
Zr -5.202 -2.459 -2.061
Zr -2.844 -5.166 -1.607